Pr6Ni2SCl3: relaxed, PBE.

Lattice parameters (Å, degrees): 7.1844 12.3820 7.5000 90.00 108.52 90.00
With the nearest neighbours (Å) after each atom.
Space group C2/m (No. 12)
One atom of each set of equivalent atoms:
Pr 0.2211 0.0000 0.2101  2 Ni 2.78, 1 S 2.92, 1 Cl 3.07
Pr 0.2463 0.3257 0.2138  2 Ni 2.78, 1 S 2.93
Ni 0.0000 0.1676 0.0000  6 Pr 2.78
S 0.0000 0.5000 0.0000  6 Pr 2.92-2.93
Cl 0.0000 0.0000 0.5000  6 Pr 3.07-3.18
Cl 0.0000 0.3422 0.5000  6 Pr 3.13-3.19

Pr8NiS3Cl4: relaxed, PBE.

Lattice parameters (Å, degrees): 8.2352 8.2352 20.8879 90.00 90.00 120.00
With the nearest neighbours (Å) after each atom.
Space group R-3m (No. 166, hexagonal axes)
One atom of each set of equivalent atoms:
Pr 0.0000 0.0000 0.2389  3 S 2.82, 3 Cl 3.09
Pr 0.0078 0.5039 0.2395  1 Ni 2.78, 2 S 2.85, 2 Cl 3.06
Ni 0.0000 0.0000 0.5000  6 Pr 2.78
S 0.0000 0.5000 0.5000  6 Pr 2.82-2.85
Cl 0.0000 0.0000 0.0000  6 Pr 3.12
Cl 0.0000 0.5000 0.0000  6 Pr 3.06-3.09

no.,formation energy from raw total energies (meV per atom)
1,-1185
2,-1517